# 1
Here is an optimized crystal structure of TaAg2Ir from the Alexandria database. Energies are from PBE-GGA.

Calculated values
The value obtained for the energy above the lowest structure with this stoichiometry is 16 meV per atom. Its volume is 17.145 Å³ per atom. The formation energy comes out at 0.042 eV/atom.

a b c (Å): 9.649 9.649 9.649
angles (deg): 17.20 17.20 17.20
Positions (direct):
Ta: 0.000 0.000 0.000
Ag: 0.507 0.507 0.507
Ag: 0.754 0.754 0.754
Ir: 0.259 0.259 0.259



# 2
Here is an optimized crystal structure of Sr3YAg from the Alexandria database. Energies are from PBE-GGA.

Calculated values
Its volume is 56.243 Å³ per atom. The formation energy comes out at 0.873 eV/atom.

a b c (Å): 6.552 6.552 6.552
angles (deg): 90.00 90.00 90.00
Positions (direct):
Sr: 0.000 0.000 0.500
Sr: 0.000 0.500 0.000
Sr: 0.500 0.000 0.000
Y: 0.000 0.000 0.000
Ag: 0.500 0.500 0.500



# 3
Here is an optimized crystal structure of KCaScCl6 from the Alexandria database. Energies are from PBE-GGA.

Calculated values
The formation energy from raw total energies is -19.882 eV per formula unit. Its volume is 31.159 Å³ per atom.

a b c (Å): 6.923 6.923 13.511
angles (deg): 90.00 90.00 120.00
Positions (direct):
K: 0.000 0.000 0.000
K: 0.000 0.000 0.500
Ca: 0.333 0.667 0.250
Ca: 0.667 0.333 0.750
Sc: 0.333 0.667 0.750
Sc: 0.667 0.333 0.250
Cl: 0.026 0.383 0.642
Cl: 0.026 0.643 0.858
Cl: 0.357 0.383 0.858
Cl: 0.357 0.974 0.642
Cl: 0.383 0.026 0.142
Cl: 0.383 0.357 0.358
Cl: 0.617 0.643 0.642
Cl: 0.617 0.974 0.858
Cl: 0.643 0.026 0.358
Cl: 0.643 0.617 0.142
Cl: 0.974 0.357 0.142
Cl: 0.974 0.617 0.358



# 4
Here is an optimized crystal structure of TaCuSi2P from the Alexandria database. Energies are from PBE-GGA.

Calculated values
The formation energy from raw total energies is 5.115 eV per formula unit. Its volume is 17.128 Å³ per atom.

a b c (Å): 4.337 4.337 4.553
angles (deg): 90.00 90.00 90.00
Positions (direct):
Ta: 0.000 0.000 0.000
Cu: 0.500 0.500 0.500
Si: 0.000 0.500 0.500
Si: 0.500 0.000 0.500
P: 0.500 0.500 0.000



# 5
Here is an optimized crystal structure of TaCoTe2 from the Alexandria database. Energies are from PBE-GGA.

Calculated values
The formation energy from raw total energies is -0.038 eV per formula unit. Its volume is 25.032 Å³ per atom.

a b c (Å): 8.018 8.018 8.018
angles (deg): 154.45 153.19 37.37
Positions (direct):
Ta: 0.000 0.000 0.000
Co: 0.885 0.385 0.500
Te: 0.354 0.854 0.500
Te: 0.595 0.595 0.000



# 6
Here is an optimized crystal structure of Ho4BiS2 from the Alexandria database. Energies are from PBE-GGA.

Calculated values
The formation energy from raw total energies is -9.641 eV per formula unit. Its volume is 24.865 Å³ per atom.

a b c (Å): 6.778 6.778 13.244
angles (deg): 90.00 90.00 145.10
Positions (direct):
Ho: 0.000 0.000 0.000
Ho: 0.000 0.000 0.500
Ho: 0.260 0.740 0.614
Ho: 0.260 0.740 0.886
Ho: 0.429 0.571 0.250
Ho: 0.571 0.429 0.750
Ho: 0.740 0.260 0.114
Ho: 0.740 0.260 0.386
Bi: 0.110 0.890 0.250
Bi: 0.890 0.110 0.750
S: 0.369 0.631 0.058
S: 0.369 0.631 0.442
S: 0.631 0.369 0.558
S: 0.631 0.369 0.942



# 7
Here is an optimized crystal structure of Cs2BPd from the Alexandria database. Energies are from PBE-GGA.

Calculated values
The value obtained for the energy above the lowest structure with this stoichiometry is 0 meV per atom. Its volume is 35.461 Å³ per atom. The formation energy comes out at 1.242 eV/atom.

a b c (Å): 5.854 5.854 5.854
angles (deg): 60.00 60.00 60.00
Positions (direct):
Cs: 0.250 0.250 0.250
Cs: 0.750 0.750 0.750
B: 0.000 0.000 0.000
Pd: 0.500 0.500 0.500



# 8
Here is an optimized crystal structure of Pu3Pa3TiN8 from the Alexandria database. Energies are from PBE-GGA.

Calculated values
The formation energy from raw total energies is -20.535 eV per formula unit. Its volume is 15.085 Å³ per atom.

a b c (Å): 6.834 6.834 6.834
angles (deg): 60.11 60.11 60.11
Positions (direct):
Pu: 0.000 0.500 0.500
Pu: 0.500 0.000 0.500
Pu: 0.500 0.500 0.000
Pa: 0.000 0.000 0.500
Pa: 0.000 0.500 0.000
Pa: 0.500 0.000 0.000
Ti: 0.500 0.500 0.500
N: 0.247 0.247 0.247
N: 0.267 0.723 0.723
N: 0.277 0.277 0.733
N: 0.277 0.733 0.277
N: 0.723 0.267 0.723
N: 0.723 0.723 0.267
N: 0.733 0.277 0.277
N: 0.753 0.753 0.753



# 9
Here is an optimized crystal structure of ErTmSi4 from the Alexandria database. Energies are from PBE-GGA.

Calculated values
The formation energy from raw total energies is -2.312 eV per formula unit. Its volume is 20.780 Å³ per atom.

a b c (Å): 8.845 13.462 4.189
angles (deg): 90.00 90.00 90.00
Positions (direct):
Er: 0.039 0.131 0.000
Er: 0.461 0.631 0.000
Er: 0.539 0.369 0.000
Er: 0.961 0.869 0.000
Tm: 0.146 0.416 0.000
Tm: 0.354 0.916 0.000
Tm: 0.646 0.084 0.000
Tm: 0.854 0.584 0.000
Si: 0.043 0.283 0.500
Si: 0.096 0.564 0.500
Si: 0.142 0.994 0.500
Si: 0.185 0.817 0.500
Si: 0.315 0.317 0.500
Si: 0.358 0.494 0.500
Si: 0.404 0.064 0.500
Si: 0.457 0.783 0.500
Si: 0.543 0.217 0.500
Si: 0.596 0.936 0.500
Si: 0.642 0.506 0.500
Si: 0.685 0.683 0.500
Si: 0.815 0.183 0.500
Si: 0.858 0.006 0.500
Si: 0.904 0.436 0.500
Si: 0.957 0.717 0.500



# 10
Here is an optimized crystal structure of TeMoCl2 from the Alexandria database. Energies are from PBE-GGA.

Calculated values
The value obtained for the energy above the lowest structure with this stoichiometry is 29 meV per atom. The formation energy from raw total energies is -1.594 eV per formula unit. Its volume is 28.481 Å³ per atom.

a b c (Å): 7.127 7.127 3.165
angles (deg): 90.00 90.00 134.87
Positions (direct):
Te: 0.000 0.000 0.000
Mo: 0.500 0.500 0.000
Cl: 0.358 0.642 0.500
Cl: 0.642 0.358 0.500



# 11
Here is an optimized crystal structure of CsK2WS4 from the Alexandria database. Energies are from PBE-GGA.

Calculated values
The formation energy from raw total energies is -7.353 eV per formula unit. Its volume is 35.833 Å³ per atom.

a b c (Å): 7.197 7.197 7.197
angles (deg): 108.32 108.32 111.80
Positions (direct):
Cs: 0.000 0.000 0.000
K: 0.500 0.500 0.000
K: 0.750 0.250 0.500
W: 0.250 0.750 0.500
S: 0.260 0.730 0.809
S: 0.270 0.079 0.530
S: 0.549 0.740 0.470
S: 0.921 0.451 0.191